TbHfNb | PBE | relaxed

a b c (Å): 3.2986 3.2986 45.4366
angles (deg): 90.00 90.00 120.00
Space group R-3m (No. 166, hexagonal axes)
One atom of each set of equivalent atoms:
1 Tb 0.0000 0.0000 0.1320 x6
2 Hf 0.0000 0.0000 0.4053 x6
3 Nb 0.0000 0.0000 0.3116 x6

Properties
The volume comes out at 428 Å³ per cell. As for the total energy: -7.9810 eV/atom. Its energy above the most stable polymorph in this dataset is 44 meV/atom. The formation enthalpy at 0 K is 237 meV/atom.